5
Lattice="-3.707 -3.198 4.031 4.031 -4.893 -0.174 3.198 2.461 4.893" Properties=species:S:1:pos:R:3 comment="BaTl3Pd (PBE, relaxed)" formation_enthalpy_0k_kj_per_mol_atoms=98.9 pbc="T T T"
Tl -1.854 -1.599 2.016
Tl 2.016 -2.446 -0.087
Ba 0.000 0.000 0.000
Pd 1.761 -2.815 4.375
Tl 1.599 1.230 2.446

18
Lattice="4.355 0.000 0.000 -2.178 9.667 0.000 0.000 0.000 13.116" Properties=species:S:1:pos:R:3 comment="PmPr2CuTe5 (PBE, relaxed)" formation_energy_uncorrected_mev_per_atom=-1214 pbc="T T T"
Te 2.178 3.566 11.019
Pr 0.000 2.096 8.981
Te 0.000 0.792 0.822
Te 0.000 6.907 13.107
Pm 2.178 5.960 6.680
Cu 2.178 1.362 12.558
Te 2.178 4.120 2.321
Pr 2.178 7.571 2.423
Pr 2.178 7.299 10.591
Te 2.178 8.875 7.380
Te 2.178 2.760 6.549
Te 0.000 6.101 4.462
Te 2.178 0.006 10.306
Pm 0.000 3.707 0.122
Te 0.000 5.547 8.879
Pr 0.000 2.367 4.033
Te 0.000 9.661 3.748
Cu 0.000 8.304 6.000

Copy entry 1 word for word.
5
Lattice="-3.707 -3.198 4.031 4.031 -4.893 -0.174 3.198 2.461 4.893" Properties=species:S:1:pos:R:3 comment="BaTl3Pd (PBE, relaxed)" formation_enthalpy_0k_kj_per_mol_atoms=98.9 pbc="T T T"
Tl -1.854 -1.599 2.016
Tl 2.016 -2.446 -0.087
Ba 0.000 0.000 0.000
Pd 1.761 -2.815 4.375
Tl 1.599 1.230 2.446

Please write out number 2 again, unchanged.
18
Lattice="4.355 0.000 0.000 -2.178 9.667 0.000 0.000 0.000 13.116" Properties=species:S:1:pos:R:3 comment="PmPr2CuTe5 (PBE, relaxed)" formation_energy_uncorrected_mev_per_atom=-1214 pbc="T T T"
Te 2.178 3.566 11.019
Pr 0.000 2.096 8.981
Te 0.000 0.792 0.822
Te 0.000 6.907 13.107
Pm 2.178 5.960 6.680
Cu 2.178 1.362 12.558
Te 2.178 4.120 2.321
Pr 2.178 7.571 2.423
Pr 2.178 7.299 10.591
Te 2.178 8.875 7.380
Te 2.178 2.760 6.549
Te 0.000 6.101 4.462
Te 2.178 0.006 10.306
Pm 0.000 3.707 0.122
Te 0.000 5.547 8.879
Pr 0.000 2.367 4.033
Te 0.000 9.661 3.748
Cu 0.000 8.304 6.000